Below is a relaxed structure of KBa2Br, with properties calculated at the PBE level. Values from VASP.

Summary:
Calculated density (kg/m3): 3025
Raw total energy (eV/cell): -8.24
Volume (A^3/atom): 54.03
Formation energy from raw total energies (meV/atom): -407
Fermi-level density of states (states/eV per atom): 1.08
SG: No. 47
Energy above the lowest structure with this stoichiometry (meV per atom): 323.3

```
&SYSTEM
  ibrav = 0, nat = 4, ntyp = 3
/
ATOMIC_SPECIES
Ba 137.33 Ba.upf
Br 79.90 Br.upf
K 39.10 K.upf
CELL_PARAMETERS angstrom
-3.8223 0.4361 -2.7554
1.2378 -6.8630 -2.8033
-3.4394 -2.4131 4.3892
ATOMIC_POSITIONS angstrom
Ba 0.0000 0.0000 0.0000
Ba -1.2923 -3.2135 -2.7793
Br -3.6309 -0.9885 0.8169
K -1.1008 -4.6381 0.7930
```

***

Below is a relaxed structure of K2BaBr, with properties calculated at the PBE level. Values from VASP.

Summary:
Calculated density (kg/m3): 2429
Raw total energy (eV/cell): -8.70
Volume (A^3/atom): 50.49
Formation energy from raw total energies (meV/atom): -727
Fermi-level density of states (states/eV per atom): 0.87
SG: No. 123
Energy above the lowest structure with this stoichiometry (meV per atom): 38.3

```
&SYSTEM
  ibrav = 0, nat = 4, ntyp = 3
/
ATOMIC_SPECIES
Ba 137.33 Ba.upf
K 39.10 K.upf
Br 79.90 Br.upf
CELL_PARAMETERS angstrom
-0.6251 2.5444 -3.2482
-0.9499 -3.2858 -2.3910
-11.1579 1.0592 2.9771
ATOMIC_POSITIONS angstrom
Ba -6.3665 0.1589 -1.3311
K -1.8633 0.1769 0.4972
K -9.2946 0.8823 2.4799
Br -0.7875 -0.3707 -2.8196
```

***

Below is a relaxed structure of K2BaBr, with properties calculated at the PBE level. Values from VASP.

Summary:
Calculated density (kg/m3): 2201
Raw total energy (eV/cell): -8.85
Volume (A^3/atom): 55.72
Formation energy from raw total energies (meV/atom): -765
Fermi-level density of states (states/eV per atom): 0.77
SG: No. 166
Energy above the lowest structure with this stoichiometry (meV per atom): 0.0

```
&SYSTEM
  ibrav = 0, nat = 4, ntyp = 3
/
ATOMIC_SPECIES
K 39.10 K.upf
Ba 137.33 Ba.upf
Br 79.90 Br.upf
CELL_PARAMETERS angstrom
12.4167 -0.0122 -0.0072
11.5667 4.5151 -0.0072
11.5667 2.1716 3.9585
ATOMIC_POSITIONS angstrom
K 16.7845 3.1513 1.8621
K 0.9906 0.1860 0.1099
Ba 8.8876 1.6686 0.9860
Br 26.6627 5.0059 2.9581
```

***

Below is a relaxed structure of KBa4Br, with properties calculated at the PBE level. Values from VASP.

Summary:
Calculated density (kg/m3): 2775
Raw total energy (eV/cell): -10.33
Volume (A^3/atom): 66.65
Formation energy from raw total energies (meV/atom): 21
Fermi-level density of states (states/eV per atom): 1.56
SG: No. 216

```
&SYSTEM
  ibrav = 0, nat = 6, ntyp = 3
/
ATOMIC_SPECIES
Br 79.90 Br.upf
Ba 137.33 Ba.upf
K 39.10 K.upf
CELL_PARAMETERS angstrom
0.0000 5.8477 5.8477
5.8477 0.0000 5.8477
5.8477 5.8477 0.0000
ATOMIC_POSITIONS angstrom
Br 8.7715 8.7715 8.7715
Ba 4.3829 7.3124 7.3124
Ba 7.3124 7.3124 4.3829
Ba 4.3829 4.3829 4.3829
Ba 7.3124 4.3829 7.3124
K 0.0000 0.0000 0.0000
```